No. 1
# La2MgP GGA-PBE optimized geometry
data_La2MgP
_cell_length_a 4.8861
_cell_length_b 4.8861
_cell_length_c 8.8099
_cell_angle_alpha 90.00
_cell_angle_beta 90.00
_cell_angle_gamma 90.00
_space_group_name_H-M_alt 'I 4/m m m'
_space_group_IT_number 139
_space_group_name_Hall '-I 4 2'
loop_
_atom_site_label
_atom_site_type_symbol
_atom_site_fract_x
_atom_site_fract_y
_atom_site_fract_z
La1 La 0.0000 0.5000 0.2500
Mg1 Mg 0.0000 0.0000 0.0000
P1 P 0.0000 0.0000 0.5000
# E_tot ... -37.40 eV for the cell shown
# Polymorph energy (0 for the lowest one) ... 269 meV per atom
# Energy of formation from the pure elements ... -1.84 eV/f.u.


No. 2
# La2MgP GGA-PBE optimized geometry
data_La2MgP
_cell_length_a 4.2240
_cell_length_b 4.2240
_cell_length_c 22.8917
_cell_angle_alpha 90.00
_cell_angle_beta 90.00
_cell_angle_gamma 120.00
_space_group_name_H-M_alt 'R 3 m'
_space_group_IT_number 160
_space_group_name_Hall 'R 3 -2"'
loop_
_atom_site_label
_atom_site_type_symbol
_atom_site_fract_x
_atom_site_fract_y
_atom_site_fract_z
La1 La 0.0000 0.0000 0.0000
La2 La 0.0000 0.0000 0.1927
Mg1 Mg 0.0000 0.0000 0.4279
P1 P 0.0000 0.0000 0.7637
# E_tot ... -56.21 eV for the cell shown
# Polymorph energy (0 for the lowest one) ... 261 meV per atom
# Energy of formation from the pure elements ... -1.88 eV/f.u.


No. 3
# LaMgP GGA-PBE optimized geometry
data_LaMgP
_cell_length_a 4.3706
_cell_length_b 4.3706
_cell_length_c 4.2176
_cell_angle_alpha 90.00
_cell_angle_beta 90.00
_cell_angle_gamma 120.00
_space_group_name_H-M_alt 'P -6 m 2'
_space_group_IT_number 187
_space_group_name_Hall 'P -6 2'
loop_
_atom_site_label
_atom_site_type_symbol
_atom_site_fract_x
_atom_site_fract_y
_atom_site_fract_z
La1 La 0.0000 0.0000 0.0000
Mg1 Mg 0.6667 0.3333 0.5000
P1 P 0.3333 0.6667 0.5000
# E_tot ... -14.44 eV for the cell shown
# Energy of formation from the pure elements ... -2.51 eV/f.u.


No. 4
# La2MgP GGA-PBE optimized geometry
data_La2MgP
_cell_length_a 4.1448
_cell_length_b 4.1448
_cell_length_c 25.6985
_cell_angle_alpha 90.00
_cell_angle_beta 90.00
_cell_angle_gamma 120.00
_space_group_name_H-M_alt 'R -3 m'
_space_group_IT_number 166
_space_group_name_Hall '-R 3 2"'
loop_
_atom_site_label
_atom_site_type_symbol
_atom_site_fract_x
_atom_site_fract_y
_atom_site_fract_z
La1 La 0.0000 0.0000 0.2319
Mg1 Mg 0.0000 0.0000 0.0000
P1 P 0.0000 0.0000 0.5000
# E_tot ... -59.34 eV for the cell shown
# Polymorph energy (0 for the lowest one) ... 0 meV per atom
# Energy of formation from the pure elements ... -2.92 eV/f.u.


No. 5
# LaMgP3 GGA-PBE optimized geometry
data_LaMgP3
_cell_length_a 5.3824
_cell_length_b 5.3824
_cell_length_c 5.3824
_cell_angle_alpha 90.00
_cell_angle_beta 90.00
_cell_angle_gamma 90.00
_space_group_name_H-M_alt 'P m -3 m'
_space_group_IT_number 221
_space_group_name_Hall '-P 4 2 3'
loop_
_atom_site_label
_atom_site_type_symbol
_atom_site_fract_x
_atom_site_fract_y
_atom_site_fract_z
La1 La 0.0000 0.0000 0.0000
Mg1 Mg 0.5000 0.5000 0.5000
P1 P 0.0000 0.0000 0.5000
# E_tot ... -19.32 eV for the cell shown
# Polymorph energy (0 for the lowest one) ... 833 meV per atom
# Energy of formation from the pure elements ... 3.43 eV/f.u.


No. 6
# LaMgP3 GGA-PBE optimized geometry
data_LaMgP3
_cell_length_a 4.7970
_cell_length_b 4.7970
_cell_length_c 4.7970
_cell_angle_alpha 90.00
_cell_angle_beta 90.00
_cell_angle_gamma 90.00
_space_group_name_H-M_alt 'P m -3 m'
_space_group_IT_number 221
_space_group_name_Hall '-P 4 2 3'
loop_
_atom_site_label
_atom_site_type_symbol
_atom_site_fract_x
_atom_site_fract_y
_atom_site_fract_z
La1 La 0.0000 0.0000 0.0000
Mg1 Mg 0.5000 0.5000 0.5000
P1 P 0.0000 0.5000 0.5000
# E_tot ... -23.48 eV for the cell shown
# Polymorph energy (0 for the lowest one) ... 0 meV per atom
# Energy of formation from the pure elements ... -0.73 eV/f.u.


No. 7
# LaMgP GGA-PBE optimized geometry
data_LaMgP
_cell_length_a 7.5103
_cell_length_b 7.5103
_cell_length_c 4.2086
_cell_angle_alpha 90.00
_cell_angle_beta 90.00
_cell_angle_gamma 120.00
_space_group_name_H-M_alt 'P -6 2 m'
_space_group_IT_number 189
_space_group_name_Hall 'P -6 -2'
loop_
_atom_site_label
_atom_site_type_symbol
_atom_site_fract_x
_atom_site_fract_y
_atom_site_fract_z
La1 La 0.0000 0.6050 0.0000
Mg1 Mg 0.0000 0.2430 0.5000
P1 P 0.0000 0.0000 0.0000
P2 P 0.3333 0.6667 0.5000
# E_tot ... -42.96 eV for the cell shown
# Energy of formation from the pure elements ... -2.39 eV/f.u.


No. 8
# LaMg4P GGA-PBE optimized geometry
data_LaMg4P
_cell_length_a 8.3724
_cell_length_b 8.3724
_cell_length_c 8.3724
_cell_angle_alpha 90.00
_cell_angle_beta 90.00
_cell_angle_gamma 90.00
_space_group_name_H-M_alt 'F -4 3 m'
_space_group_IT_number 216
_space_group_name_Hall 'F -4 2 3'
loop_
_atom_site_label
_atom_site_type_symbol
_atom_site_fract_x
_atom_site_fract_y
_atom_site_fract_z
La1 La 0.0000 0.0000 0.0000
Mg1 Mg 0.1239 0.1239 0.6239
P1 P 0.2500 0.2500 0.2500
# E_tot ... -64.07 eV for the cell shown
# Energy of formation from the pure elements ... 0.70 eV/f.u.


No. 9
# La2MgP GGA-PBE optimized geometry
data_La2MgP
_cell_length_a 4.4213
_cell_length_b 4.4213
_cell_length_c 6.2596
_cell_angle_alpha 90.00
_cell_angle_beta 90.00
_cell_angle_gamma 90.00
_space_group_name_H-M_alt 'P 4 m m'
_space_group_IT_number 99
_space_group_name_Hall 'P 4 -2'
loop_
_atom_site_label
_atom_site_type_symbol
_atom_site_fract_x
_atom_site_fract_y
_atom_site_fract_z
La1 La 0.0000 0.0000 0.0000
La2 La 0.5000 0.5000 0.4948
Mg1 Mg 0.5000 0.5000 0.9931
P1 P 0.0000 0.0000 0.4976
# E_tot ... -18.56 eV for the cell shown
# Polymorph energy (0 for the lowest one) ... 306 meV per atom
# Energy of formation from the pure elements ... -1.70 eV/f.u.


No. 10
# La2MgP GGA-PBE optimized geometry
data_La2MgP
_cell_length_a 3.8402
_cell_length_b 3.8402
_cell_length_c 7.3054
_cell_angle_alpha 90.00
_cell_angle_beta 90.00
_cell_angle_gamma 90.00
_space_group_name_H-M_alt 'P 4/m m m'
_space_group_IT_number 123
_space_group_name_Hall '-P 4 2'
loop_
_atom_site_label
_atom_site_type_symbol
_atom_site_fract_x
_atom_site_fract_y
_atom_site_fract_z
La1 La 0.0000 0.0000 0.2170
Mg1 Mg 0.5000 0.5000 0.5000
P1 P 0.5000 0.5000 0.0000
# E_tot ... -19.54 eV for the cell shown
# Polymorph energy (0 for the lowest one) ... 61 meV per atom
# Energy of formation from the pure elements ... -2.68 eV/f.u.


No. 11
# La2MgP4Pd3 GGA-PBE optimized geometry
data_La2MgP4Pd3
_cell_length_a 4.3261
_cell_length_b 4.3261
_cell_length_c 10.0239
_cell_angle_alpha 90.00
_cell_angle_beta 90.00
_cell_angle_gamma 90.00
_space_group_name_H-M_alt 'P -4 m 2'
_space_group_IT_number 115
_space_group_name_Hall 'P -4 -2'
loop_
_atom_site_label
_atom_site_type_symbol
_atom_site_fract_x
_atom_site_fract_y
_atom_site_fract_z
La1 La 0.0000 0.5000 0.2339
Mg1 Mg 0.0000 0.0000 0.5000
P1 P 0.0000 0.0000 0.0000
P2 P 0.0000 0.5000 0.6445
P3 P 0.5000 0.5000 0.0000
Pd1 Pd 0.0000 0.5000 0.8904
Pd2 Pd 0.5000 0.5000 0.5000
# E_tot ... -58.38 eV for the cell shown
# Energy of formation from the pure elements ... -9.71 eV/f.u.


No. 12
# LaMg2P2Pd7 GGA-PBE optimized geometry
data_LaMg2P2Pd7
_cell_length_a 7.4233
_cell_length_b 5.7098
_cell_length_c 10.2804
_cell_angle_alpha 90.00
_cell_angle_beta 90.93
_cell_angle_gamma 90.00
_space_group_name_H-M_alt 'C 1 2/m 1'
_space_group_IT_number 12
_space_group_name_Hall '-C 2y'
loop_
_atom_site_label
_atom_site_type_symbol
_atom_site_fract_x
_atom_site_fract_y
_atom_site_fract_z
La1 La 0.0000 0.0000 0.0000
Mg1 Mg 0.1251 0.0000 0.6159
P1 P 0.1540 0.5000 0.8038
Pd1 Pd 0.0000 0.5000 0.0000
Pd2 Pd 0.1090 0.2590 0.2505
Pd3 Pd 0.1484 0.5000 0.5755
# E_tot ... -125.80 eV for the cell shown
# Energy of formation from the pure elements ... -7.61 eV/f.u.